Record 1
# RbTa2Ti | Alexandria | GGA-PBE | optimized geometry
# Spin magnetization: 0.7 μB/f.u.
# Offset from the most stable computed form: 145.5 meV/atom
# E_form: 1.925 eV per atom
# DFT total energy: -6.217 eV per atom
data_RbTa2Ti
_space_group_name_H-M_alt 'I 41/a m d'
_space_group_IT_number 141
_cell_length_a 5.1439
_cell_length_b 5.1439
_cell_length_c 19.4534
_cell_angle_alpha 90.00
_cell_angle_beta 90.00
_cell_angle_gamma 90.00
loop_
_space_group_symop_operation_xyz
'x,y,z'
'-x,-y,-z'
'-y+1/4,x+3/4,z+1/4'
'y+1/4,-x+3/4,-z+1/4'
'-x+1/2,-y,z+1/2'
'x+1/2,y,-z+1/2'
'y+1/4,-x+1/4,z+3/4'
'-y+1/4,x+1/4,-z+3/4'
'x,-y,-z'
'-x,y,z'
'-y+1/4,-x+1/4,-z+3/4'
'y+1/4,x+1/4,z+3/4'
'-x+1/2,y,-z+1/2'
'x+1/2,-y,z+1/2'
'y+1/4,x+3/4,-z+1/4'
'-y+1/4,-x+3/4,z+1/4'
'x+1/2,y+1/2,z+1/2'
'-x+1/2,-y+1/2,-z+1/2'
'-y+3/4,x+1/4,z+3/4'
'y+3/4,-x+1/4,-z+3/4'
'-x,-y+1/2,z'
'x,y+1/2,-z'
'y+3/4,-x+3/4,z+1/4'
'-y+3/4,x+3/4,-z+1/4'
'x+1/2,-y+1/2,-z+1/2'
'-x+1/2,y+1/2,z+1/2'
'-y+3/4,-x+3/4,-z+1/4'
'y+3/4,x+3/4,z+1/4'
'-x,y+1/2,-z'
'x,-y+1/2,z'
'y+3/4,x+1/4,-z+3/4'
'-y+3/4,-x+1/4,z+3/4'
loop_
_atom_site_label
_atom_site_type_symbol
_atom_site_fract_x
_atom_site_fract_y
_atom_site_fract_z
Rb1 Rb 0.0000 0.2500 0.3750
Ta1 Ta 0.0000 0.0000 0.0000
Ti1 Ti 0.0000 0.2500 0.8750


Record 2
# Ta2TlGe2 | Alexandria | GGA-PBE | optimized geometry
# Spin magnetization: 0.0 μB/f.u.
# E_form: 0.227 eV per atom
# DFT total energy: -6.834 eV per atom
data_Ta2TlGe2
_space_group_name_H-M_alt 'I 4/m m m'
_space_group_IT_number 139
_space_group_name_Hall '-I 4 2'
_cell_length_a 4.3176
_cell_length_b 4.3176
_cell_length_c 11.1662
_cell_angle_alpha 90.00
_cell_angle_beta 90.00
_cell_angle_gamma 90.00
loop_
_atom_site_label
_atom_site_type_symbol
_atom_site_fract_x
_atom_site_fract_y
_atom_site_fract_z
Ta1 Ta 0.0000 0.5000 0.2500
Tl1 Tl 0.0000 0.0000 0.0000
Ge1 Ge 0.0000 0.0000 0.3882


Record 3
# CsRb2TlZn | Alexandria | GGA-PBE | optimized geometry
# Spin magnetization: 0.0 μB/f.u.
# Offset from the most stable computed form: 0.0 meV/atom
# E_form: 0.083 eV per atom
# DFT total energy: -1.203 eV per atom
data_CsRb2TlZn
_space_group_name_H-M_alt 'P 4/m m m'
_space_group_IT_number 123
_space_group_name_Hall '-P 4 2'
_cell_length_a 7.1243
_cell_length_b 7.1243
_cell_length_c 5.5826
_cell_angle_alpha 90.00
_cell_angle_beta 90.00
_cell_angle_gamma 90.00
loop_
_atom_site_label
_atom_site_type_symbol
_atom_site_fract_x
_atom_site_fract_y
_atom_site_fract_z
Cs1 Cs 0.0000 0.0000 0.0000
Rb1 Rb 0.0000 0.5000 0.5000
Tl1 Tl 0.5000 0.5000 0.0000
Zn1 Zn 0.5000 0.5000 0.5000